(1)
Computed, not measured: PaIn2AsO8 after structural relaxation at the PBE-GGA level of DFT.

Cell and atoms, written as POSCAR:
```
PaIn2AsO8
1.0
-1.938 2.417 3.708
-3.676 -3.136 -0.004
3.304 -3.879 4.255
Pa In As O
1 2 1 8
Cartesian
1.652 -1.939 2.128
-0.272 -3.335 5.117
-2.038 -1.262 2.842
0.000 0.000 0.000
-2.644 -2.975 1.587
-4.069 -0.523 2.683
-1.537 0.575 3.962
0.335 -1.622 6.373
-1.545 -0.196 1.021
-0.773 -5.172 3.997
-2.228 -2.438 4.686
-0.081 -2.159 3.273
```

Summary:
Raw total energy, eV per cell: -82.8
Symmetry: Cmmm (65)

***

(2)
Computed, not measured: Y4ErPd5 after structural relaxation at the PBE-GGA level of DFT.

Cell and atoms, written as POSCAR:
```
Y4ErPd5
1.0
-2.473 1.892 1.552
1.375 -0.751 3.106
10.402 14.499 -1.097
Y Er Pd
4 1 5
Cartesian
2.063 2.876 -0.218
4.154 5.790 -0.438
6.248 8.709 -0.659
8.339 11.623 -0.880
0.000 0.000 0.000
0.451 1.964 2.223
2.559 4.903 2.001
4.652 7.820 1.780
6.745 10.736 1.560
8.854 13.676 1.337
```

Summary:
N(E_F), states/eV per cell: 8.05
Energy of formation from the pure elements, meV per atom: -878
Symmetry: P4/mmm (123)

***

(3)
Computed, not measured: Li2SmMgTl4 after structural relaxation at the PBE-GGA level of DFT.

Cell and atoms, written as POSCAR:
```
Li2SmMgTl4
1.0
-4.222 -2.487 1.383
-0.018 -2.826 4.235
-3.990 5.171 6.493
Li Sm Mg Tl
2 1 1 4
Cartesian
-6.165 -0.127 9.069
-2.065 -0.015 3.041
0.000 0.000 0.000
-4.115 -0.071 6.055
-5.029 2.391 7.694
-5.220 -2.673 7.375
-3.010 2.531 4.736
-3.201 -2.533 4.417
```

Summary:
N(E_F), states/eV per cell: 2.20
Energy of formation from the pure elements, meV per atom: -231
Symmetry: R-3m (166)

***

(4)
Computed, not measured: NbSi2H after structural relaxation at the PBE-GGA level of DFT.

Cell and atoms, written as POSCAR:
```
NbSi2H
1.0
0.000 3.032 3.032
3.032 0.000 3.032
3.032 3.032 0.000
H Nb Si
1 1 2
Cartesian
0.000 0.000 0.000
3.032 3.032 3.032
1.516 1.516 1.516
4.548 4.548 4.548
```

Summary:
ΔE to the lowest computed polymorph, eV per atom: 0.6820
N(E_F), states/eV per cell: 2.75
Symmetry: Fm-3m (225)

***

(5)
Computed, not measured: Ac2YSb after structural relaxation at the PBE-GGA level of DFT.

Cell and atoms, written as POSCAR:
```
Ac2YSb
1.0
-3.728 -0.583 -0.100
-1.454 -3.169 1.445
-2.931 4.486 11.817
Y Sb Ac
1 1 2
Cartesian
-4.056 0.367 6.581
0.000 0.000 0.000
-2.618 2.995 8.861
-5.495 -2.261 4.300
```

Summary:
ΔE to the lowest computed polymorph, eV per atom: 0.5268
N(E_F), states/eV per cell: 5.70
Symmetry: R-3m (166)

***

(6)
Computed, not measured: Ca2VZnIr after structural relaxation at the PBE-GGA level of DFT.

Cell and atoms, written as POSCAR:
```
Ca2VZnIr
1.0
-0.019 -0.987 5.229
-0.985 -4.463 -0.846
5.201 -1.112 -0.191
Zn Ir Ca V
1 1 2 1
Cartesian
0.000 0.000 0.000
-0.493 -2.231 -0.423
2.600 -0.556 -0.096
-0.009 -0.494 2.615
2.098 -3.281 2.096
```

Summary:
N(E_F), states/eV per cell: 8.65
Energy of formation from the pure elements, meV per atom: 942
Symmetry: P4/mmm (123)